No. 1
## ScZn2Pt (GGA-PBE)

Data for a geometry-optimized ScZn2Pt structure.

Output
As for the space group: No. 216. Its density is 9573 kg/m3. Its formation energy is -0.64 eV/atom. The total energy is -4.37 eV/atom.

Cell: 4.4975 4.4975 4.4975 Å, 60.00 60.00 60.00°
Sites, in units of the cell vectors:
1 Sc 0.2500 0.2500 0.2500
2 Zn 0.0000 0.0000 0.0000
3 Zn 0.7500 0.7500 0.7500
4 Pt 0.5000 0.5000 0.5000

=====

No. 2
## ScZn2Pt (GGA-PBE)

Data for a geometry-optimized ScZn2Pt structure.

Output
As for the space group: No. 62. Its density is 9650 kg/m3. Its formation energy is -0.71 eV/atom. The total energy is -4.44 eV/atom.

Cell: 5.8254 4.5902 9.5460 Å, 90.00 90.00 90.00°
Sites, in units of the cell vectors:
1 Pt 0.7502 0.2500 0.5905
2 Pt 0.7498 0.2500 0.0905
3 Pt 0.2502 0.7500 0.9095
4 Pt 0.2498 0.7500 0.4095
5 Zn 0.0097 0.7500 0.1702
6 Zn 0.4894 0.7500 0.1693
7 Zn 0.5106 0.2500 0.8307
8 Zn 0.0106 0.7500 0.6693
9 Zn 0.4903 0.7500 0.6702
10 Zn 0.5097 0.2500 0.3298
11 Zn 0.9903 0.2500 0.8298
12 Zn 0.9894 0.2500 0.3307
13 Sc 0.2488 0.2500 0.0717
14 Sc 0.7488 0.7500 0.4283
15 Sc 0.7512 0.7500 0.9283
16 Sc 0.2512 0.2500 0.5717